Sm3Mg7 after structural relaxation. Source: Alexandria, functional GGA-PBE.

Summary:
**N(E_F)**: 0.79 states/eV/atom
**E**: -2.606 eV per atom
**E_form**: -0.07 eV/atom
**M_tot**: 0.00 μB per cell

Cell and atoms, written as POSCAR:
```
Sm3Mg7
1.0
8.490 -2.549 0.000
8.490 2.549 0.000
-2.507 0.000 6.098
Sm Mg
3 7
direct
0.000 0.000 0.000
0.207 0.207 0.788
0.793 0.793 0.212
0.000 0.000 0.500
0.199 0.199 0.298
0.391 0.391 0.620
0.410 0.410 0.148
0.590 0.590 0.852
0.609 0.609 0.380
0.801 0.801 0.702
```


AlCrCuOs after structural relaxation. Source: Alexandria, functional GGA-PBE.

Summary:
**N(E_F)**: 0.64 states/eV/atom
**E**: -7.247 eV per atom
**E_form**: -0.07 eV/atom
**M_tot**: 0.28 μB per cell

Cell and atoms, written as POSCAR:
```
AlCrCuOs
1.0
0.000 2.965 2.965
2.965 0.000 2.965
2.965 2.965 0.000
Al Cr Cu Os
1 1 1 1
direct
0.000 0.000 0.000
0.500 0.500 0.500
0.750 0.750 0.750
0.250 0.250 0.250
```


Sr2InTc after structural relaxation. Source: Alexandria, functional GGA-PBE.

Summary:
**N(E_F)**: 0.91 states/eV/atom
**E**: -3.777 eV per atom
**E_form**: 0.34 eV/atom
**M_tot**: 0.00 μB per cell

Cell and atoms, written as POSCAR:
```
Sr2InTc
1.0
6.036 -2.007 0.000
6.036 2.007 0.000
-2.389 0.000 4.821
Sr In Tc
2 1 1
direct
0.000 0.000 0.000
0.208 0.208 0.707
0.780 0.780 0.279
0.445 0.445 0.446
```


Ac3O after structural relaxation. Source: Alexandria, functional GGA-PBE.

Summary:
**N(E_F)**: 1.60 states/eV/atom
**E**: -4.167 eV per atom
**M_tot**: 0.00 μB per cell
**Relative energy among the computed polymorphs**: 1317 meV/atom
**Energy relative to the elements, uncorrected**: 15 kJ/mol of atoms

Cell and atoms, written as POSCAR:
```
Ac3O
1.0
-2.441 2.441 5.649
2.441 -2.441 5.649
2.441 2.441 -5.649
Ac O
3 1
direct
0.000 0.000 0.000
0.250 0.750 0.500
0.750 0.250 0.500
0.500 0.500 0.000
```


Ba3Sn2Pd4 after structural relaxation. Source: Alexandria, functional GGA-PBE.

Summary:
**N(E_F)**: 0.64 states/eV/atom
**E**: -4.507 eV per atom
**E_form**: -0.67 eV/atom
**M_tot**: 0.00 μB per cell
**Relative energy among the computed polymorphs**: 0 meV/atom

Cell and atoms, written as POSCAR:
```
Ba3Sn2Pd4
1.0
5.901 -2.345 0.000
5.901 2.345 0.000
-1.828 0.000 9.107
Ba Sn Pd
3 2 4
direct
0.000 0.000 0.000
0.375 0.375 0.615
0.625 0.625 0.385
0.322 0.322 0.215
0.678 0.678 0.785
0.085 0.085 0.639
0.261 0.261 0.914
0.739 0.739 0.086
0.915 0.915 0.361
```


MgNiTe after structural relaxation. Source: Alexandria, functional GGA-PBE.

Summary:
**N(E_F)**: 0.35 states/eV/atom
**E**: -3.773 eV per atom
**M_tot**: 0.00 μB per cell
**Energy relative to the elements, uncorrected**: -26 kJ/mol of atoms

Cell and atoms, written as POSCAR:
```
MgNiTe
1.0
7.100 0.000 0.000
0.000 4.021 0.000
0.000 0.000 8.038
Mg Ni Te
4 4 4
direct
0.007 0.250 0.152
0.493 0.750 0.652
0.507 0.250 0.348
0.993 0.750 0.848
0.225 0.750 0.408
0.275 0.250 0.908
0.725 0.750 0.092
0.775 0.250 0.592
0.167 0.250 0.610
0.333 0.750 0.110
0.667 0.250 0.890
0.833 0.750 0.390
```


Cs2B2PdS6 after structural relaxation. Source: Alexandria, functional GGA-PBE.

Summary:
**N(E_F)**: 0.78 states/eV/atom
**E**: -4.543 eV per atom
**M_tot**: 0.00 μB per cell
**Energy relative to the elements, uncorrected**: -43 kJ/mol of atoms

Cell and atoms, written as POSCAR:
```
Cs2B2PdS6
1.0
3.246 1.874 7.858
-3.246 1.874 7.858
0.000 -3.748 7.858
Cs B Pd S
2 2 1 6
direct
0.208 0.208 0.208
0.792 0.792 0.792
0.388 0.388 0.388
0.612 0.612 0.612
0.000 0.000 0.000
0.239 0.239 0.721
0.239 0.721 0.239
0.279 0.761 0.761
0.721 0.239 0.239
0.761 0.279 0.761
0.761 0.761 0.279
```


LuHfCdPt after structural relaxation. Source: Alexandria, functional GGA-PBE.

Summary:
**N(E_F)**: 0.90 states/eV/atom
**E**: -5.897 eV per atom
**E_form**: -0.54 eV/atom
**M_tot**: 0.00 μB per cell

Cell and atoms, written as POSCAR:
```
LuHfCdPt
1.0
0.000 3.463 3.463
3.463 0.000 3.463
3.463 3.463 0.000
Lu Hf Cd Pt
1 1 1 1
direct
0.000 0.000 0.000
0.500 0.500 0.500
0.250 0.250 0.250
0.750 0.750 0.750
```


FeOsC after structural relaxation. Source: Alexandria, functional GGA-PBE.

Summary:
**N(E_F)**: 0.69 states/eV/atom
**E**: -9.284 eV per atom
**E_form**: 0.35 eV/atom
**M_tot**: 0.81 μB per cell
**Relative energy among the computed polymorphs**: 32 meV/atom

Cell and atoms, written as POSCAR:
```
FeOsC
1.0
1.347 -5.117 0.000
1.347 5.117 0.000
0.000 0.000 4.447
Fe Os C
2 2 2
direct
0.061 0.939 0.500
0.939 0.061 0.000
0.207 0.793 0.029
0.793 0.207 0.529
0.437 0.563 0.672
0.563 0.437 0.172
```


SmDyHg after structural relaxation. Source: Alexandria, functional GGA-PBE.

Summary:
**N(E_F)**: 1.54 states/eV/atom
**E**: -3.306 eV per atom
**E_form**: -0.10 eV/atom
**M_tot**: 0.01 μB per cell
**Relative energy among the computed polymorphs**: 250 meV/atom

Cell and atoms, written as POSCAR:
```
SmDyHg
1.0
0.000 3.642 3.642
3.642 0.000 3.642
3.642 3.642 0.000
Sm Dy Hg
1 1 1
direct
0.000 0.000 0.000
0.500 0.500 0.500
0.750 0.750 0.750
```


AsPd2Pb2 after structural relaxation. Source: Alexandria, functional GGA-PBE.

Summary:
**N(E_F)**: 0.42 states/eV/atom
**E**: -4.669 eV per atom
**E_form**: -0.18 eV/atom
**M_tot**: 0.00 μB per cell
**Relative energy among the computed polymorphs**: 0 meV/atom

Cell and atoms, written as POSCAR:
```
AsPd2Pb2
1.0
2.120 -6.758 0.000
2.120 6.758 0.000
0.000 0.000 7.968
As Pd Pb
2 4 4
direct
0.095 0.905 0.500
0.905 0.095 0.000
0.061 0.939 0.175
0.304 0.696 0.082
0.696 0.304 0.582
0.939 0.061 0.675
0.297 0.703 0.735
0.438 0.562 0.364
0.562 0.438 0.864
0.703 0.297 0.235
```


ZrTaSi2 after structural relaxation. Source: Alexandria, functional GGA-PBE.

Summary:
**N(E_F)**: 0.54 states/eV/atom
**E**: -8.212 eV per atom
**M_tot**: 0.00 μB per cell
**Relative energy among the computed polymorphs**: 253 meV/atom
**Energy relative to the elements, uncorrected**: -39 kJ/mol of atoms

Cell and atoms, written as POSCAR:
```
ZrTaSi2
1.0
3.051 0.000 0.000
0.000 3.736 0.000
-1.460 0.000 5.992
Zr Ta Si
1 1 2
direct
0.000 0.000 0.000
0.000 0.000 0.500
0.471 0.500 0.281
0.529 0.500 0.719
```


AlFeCu3 after structural relaxation. Source: Alexandria, functional GGA-PBE.

Summary:
**N(E_F)**: 0.87 states/eV/atom
**E**: -3.932 eV per atom
**E_form**: 0.97 eV/atom
**M_tot**: 3.23 μB per cell
**Relative energy among the computed polymorphs**: 0 meV/atom

Cell and atoms, written as POSCAR:
```
AlFeCu3
1.0
4.382 0.000 0.000
0.000 4.382 0.000
0.000 0.000 4.382
Al Fe Cu
1 1 3
direct
0.000 0.000 0.000
0.500 0.500 0.500
0.000 0.000 0.500
0.000 0.500 0.000
0.500 0.000 0.000
```


Mg2Zn2GePd5 after structural relaxation. Source: Alexandria, functional GGA-PBE.

Summary:
**N(E_F)**: 0.32 states/eV/atom
**E**: -4.140 eV per atom
**E_form**: -0.51 eV/atom
**M_tot**: 0.00 μB per cell

Cell and atoms, written as POSCAR:
```
Mg2Zn2GePd5
1.0
9.497 0.000 0.000
0.000 9.497 0.000
0.000 0.000 3.603
Mg Zn Ge Pd
4 4 2 10
direct
0.170 0.330 0.000
0.330 0.830 0.000
0.670 0.170 0.000
0.830 0.670 0.000
0.129 0.629 0.000
0.371 0.129 0.000
0.629 0.871 0.000
0.871 0.371 0.000
0.000 0.000 0.000
0.500 0.500 0.000
0.000 0.500 0.500
0.083 0.809 0.500
0.191 0.083 0.500
0.309 0.583 0.500
0.417 0.309 0.500
0.500 0.000 0.500
0.583 0.691 0.500
0.691 0.417 0.500
0.809 0.917 0.500
0.917 0.191 0.500
```